# 1
## Sm6Co2AuI3 (PBE)

Data for a relaxed structure of Sm6Co2AuI3.

Summary:
Raw formation energy   -67 kJ per mole of atoms
DOS at the Fermi energy   0.61 states/eV per atom
Raw total energy   -4.89 eV/atom

a = 7.165 Å, b = 7.165 Å, c = 8.342 Å
α = 98.21°, β = 98.21°, γ = 120.00°
Atoms (fractional coordinates):
Sm 0.301 0.301 0.817
Sm 0.699 0.699 0.183
Co 0.333 0.667 0.000
Au 0.000 0.000 0.000
Sm 0.938 0.577 0.816
Sm 0.423 0.062 0.184
I 0.836 0.164 0.500
Sm 0.062 0.423 0.184
I 0.500 0.500 0.500
I 0.164 0.836 0.500
Sm 0.577 0.938 0.816
Co 0.667 0.333 0.000

=====

# 2
## NbAl2Fe3 (PBE)

Data for a relaxed structure of NbAl2Fe3.

Summary:
Energy of formation from the pure elements   -0.345 eV per atom
DOS at the Fermi energy   0.82 states/eV per atom
Raw total energy   -7.50 eV/atom

a = 4.157 Å, b = 4.157 Å, c = 10.154 Å
α = 90.00°, β = 90.00°, γ = 120.00°
Atoms (fractional coordinates):
Al 0.000 0.000 0.000
Nb 0.333 0.667 0.670
Fe 0.667 0.333 0.078
Al 0.333 0.667 0.165
Nb 0.667 0.333 0.330
Fe 0.000 0.000 0.755
Al 0.667 0.333 0.835
Fe 0.333 0.667 0.922
Al 0.000 0.000 0.500
Fe 0.000 0.000 0.245
Fe 0.667 0.333 0.584
Fe 0.333 0.667 0.416